Entry 1:
Here is CeEr2Th5 after structural relaxation from Alexandria via LeMat-Bulk. Energies are from GGA-PBE.

Geometry as POSCAR:
```
CeEr2Th5
1.0
-4.197 4.197 3.555
4.197 -4.197 3.555
4.197 4.197 -3.555
Ce Er Th
1 2 5
Direct
0.000 0.000 0.000 Ce
0.001 0.501 0.500 Er
0.501 0.001 0.500 Er
0.001 0.001 0.501 Th
0.001 0.501 0.000 Th
0.501 0.001 0.000 Th
0.501 0.501 0.499 Th
0.502 0.502 0.000 Th
```

density of states at the Fermi level	13.9	states/eV per cell
magnetization	0.010	μB per atom
formation energy	11.6	kJ/mol of atoms
energy	-51.197	eV/f.u.

Entry 2:
Here is CeEr2Th2 after structural relaxation from Alexandria via LeMat-Bulk. Energies are from GGA-PBE.

Geometry as POSCAR:
```
CeEr2Th2
1.0
6.075 0.000 0.000
-2.089 6.755 0.000
-0.956 -2.115 7.520
Ce Er Th
2 4 4
Direct
0.206 0.146 0.402 Ce
0.794 0.854 0.598 Ce
0.006 0.755 0.001 Er
0.199 0.647 0.397 Er
0.801 0.353 0.603 Er
0.994 0.245 0.999 Er
0.396 0.047 0.794 Th
0.407 0.554 0.802 Th
0.593 0.446 0.198 Th
0.604 0.953 0.206 Th
```

polymorph energy (0 for the lowest one)	0.0	kJ/mol of formula units
density of states at the Fermi level	19.1	states/eV per cell
magnetization	0.073	μB per atom
formation energy	5.2	kJ/mol of atoms
energy	-29.629	eV/f.u.

Entry 3:
Here is CeEr2Th after structural relaxation from Alexandria via LeMat-Bulk. Energies are from GGA-PBE.

Geometry as POSCAR:
```
CeEr2Th
1.0
0.000 3.972 3.972
3.972 0.000 3.972
3.972 3.972 0.000
Ce Er Th
1 2 1
Direct
0.000 0.000 0.000 Ce
0.250 0.250 0.250 Er
0.750 0.750 0.750 Er
0.500 0.500 0.500 Th
```

polymorph energy (0 for the lowest one)	48.0	kJ/mol of formula units
density of states at the Fermi level	10.2	states/eV per cell
magnetization	0.189	μB per atom
formation energy	16.7	kJ/mol of atoms
energy	-21.788	eV/f.u.

Entry 4:
Here is CeErTh after structural relaxation from Alexandria via LeMat-Bulk. Energies are from GGA-PBE.

Geometry as POSCAR:
```
CeErTh
1.0
3.510 0.000 0.000
-1.755 3.040 0.000
0.000 0.000 8.568
Ce Er Th
1 1 1
Direct
0.000 0.000 0.000 Ce
0.667 0.333 0.340 Er
0.333 0.667 0.677 Th
```

polymorph energy (0 for the lowest one)	0.0	kJ/mol of formula units
density of states at the Fermi level	5.8	states/eV per cell
magnetization	0.001	μB per atom
formation energy	4.4	kJ/mol of atoms
energy	-17.780	eV/f.u.

Entry 5:
Here is Ce2Er2Th7 after structural relaxation from Alexandria via LeMat-Bulk. Energies are from GGA-PBE.

Geometry as POSCAR:
```
Ce2Er2Th7
1.0
4.952 -5.735 0.000
4.952 5.735 0.000
-2.592 0.000 6.221
Ce Er Th
2 2 7
Direct
0.128 0.128 0.458 Ce
0.872 0.872 0.542 Ce
0.350 0.650 0.000 Er
0.650 0.350 0.000 Er
0.076 0.582 0.304 Th
0.182 0.182 0.010 Th
0.418 0.924 0.696 Th
0.500 0.500 0.500 Th
0.582 0.076 0.304 Th
0.818 0.818 0.990 Th
0.924 0.418 0.696 Th
```

density of states at the Fermi level	20.0	states/eV per cell
magnetization	0.000	μB per atom
formation energy	24.1	kJ/mol of atoms
energy	-70.187	eV/f.u.

Entry 6:
Here is Ce3ErTh12 after structural relaxation from Alexandria via LeMat-Bulk. Energies are from GGA-PBE.

Geometry as POSCAR:
```
Ce3ErTh12
1.0
4.985 0.000 0.000
0.000 4.985 0.000
0.000 0.000 20.037
Ce Er Th
3 1 12
Direct
0.000 0.000 0.000 Ce
0.000 0.000 0.249 Ce
0.000 0.000 0.751 Ce
0.000 0.000 0.500 Er
0.000 0.500 0.124 Th
0.000 0.500 0.373 Th
0.000 0.500 0.627 Th
0.000 0.500 0.876 Th
0.500 0.000 0.124 Th
0.500 0.000 0.373 Th
0.500 0.000 0.627 Th
0.500 0.000 0.876 Th
0.500 0.500 0.000 Th
0.500 0.500 0.247 Th
0.500 0.500 0.500 Th
0.500 0.500 0.753 Th
```

density of states at the Fermi level	28.8	states/eV per cell
magnetization	0.000	μB per atom
formation energy	2.1	kJ/mol of atoms
energy	-111.049	eV/f.u.